(1)
5
Lattice="4.541 0.000 0.000 0.000 4.541 0.000 0.000 0.000 4.541" Properties=species:S:1:pos:R:3 comment="BaRuO3 SCAN PBEsol geometry" e_form_raw_mev_per_atom=573 m_tot_mub_per_cell=3.88 vol_a3_per_atom=18.73 sg="Pm-3m (221)" pbc="T T T"
Ba 0.000 0.000 0.000
Ru 2.270 2.270 2.270
O 0.000 0.000 2.270
O 0.000 2.270 0.000
O 2.270 0.000 0.000

(2)
10
Lattice="2.869 0.000 0.000 0.000 2.869 0.000 0.000 0.000 9.447" Properties=species:S:1:pos:R:3 comment="Fe2GeH2 SCAN PBEsol geometry" m_tot_mub_per_cell=6.33 vol_a3_per_atom=7.78 sg="I4/mmm (139)" energy_ev_per_cell=-123.07 pbc="T T T"
Fe 0.000 0.000 1.376
Fe 0.000 0.000 8.071
Fe 1.435 1.435 3.348
Fe 1.435 1.435 6.099
Ge 0.000 0.000 4.724
Ge 1.435 1.435 0.000
H 0.000 1.435 2.362
H 0.000 1.435 7.085
H 1.435 0.000 2.362
H 1.435 0.000 7.085

(3)
4
Lattice="3.786 0.000 0.000 0.000 3.786 0.000 0.000 0.000 3.883" Properties=species:S:1:pos:R:3 comment="NiIrW2 SCAN PBEsol geometry" m_tot_mub_per_cell=0.00 vol_a3_per_atom=13.92 sg="P4/mmm (123)" formation_enthalpy_0k_kcal_per_mol_atoms=-3.48 pbc="T T T"
Ni 0.000 0.000 0.000
Ir 1.893 1.893 0.000
W 0.000 1.893 1.942
W 1.893 0.000 1.942